Run i
This record from the Alexandria database describes a geometry-optimized ZrTi2SnH structure. The functional is PBE.

Structure (POSCAR):
```
ZrTi2SnH
1.0
4.090 0.000 0.000
0.000 4.843 0.000
0.000 0.000 4.090
Ti Sn H Zr
2 1 1 1
direct
0.000 0.000 0.500
0.500 0.000 0.000
0.000 0.500 0.000
0.000 0.000 0.000
0.500 0.500 0.500
```

For the density of states at the Fermi level, the calculation gives 1.086 states/eV per atom. The space-group type is P4/mmm, No. 123. The crystal system is tetragonal.

---

Run ii
This record from the Alexandria database describes a geometry-optimized ZrTi2SnH structure. The functional is PBE.

Structure (POSCAR):
```
ZrTi2SnH
1.0
4.331 0.000 0.000
0.000 4.331 0.000
0.000 0.000 4.184
Ti Sn H Zr
2 1 1 1
direct
0.000 0.500 0.000
0.500 0.000 0.000
0.500 0.500 0.500
0.000 0.000 0.000
0.000 0.000 0.500
```

For the density of states at the Fermi level, the calculation gives 0.880 states/eV per atom. The space-group type is P4/mmm, No. 123. The crystal system is tetragonal.

---

Relative stability in kJ/mol of atoms, measured from the most stable structure: run i 16.7; run ii 0.0